Entry 1:
The following is a PBEsol calculation of a relaxed ZnSnP2O7 crystal, from Alexandria via LeMat-Bulk.

Cell: 7.018 9.263 9.192 Å, 90.00 109.74 90.00°
Fractional coordinates of all 44 atoms:
O (0.086, 0.815, 0.624)
O (0.901, 0.729, 0.311)
O (0.502, 0.402, 0.331)
O (0.099, 0.229, 0.189)
O (0.099, 0.271, 0.689)
O (0.649, 0.679, 0.463)
O (0.351, 0.321, 0.537)
O (0.914, 0.315, 0.876)
O (0.498, 0.902, 0.169)
O (0.914, 0.185, 0.376)
O (0.860, 0.421, 0.219)
O (0.273, 0.678, 0.409)
O (0.351, 0.179, 0.037)
O (0.508, 0.637, 0.093)
O (0.727, 0.178, 0.091)
O (0.860, 0.079, 0.719)
O (0.498, 0.598, 0.669)
O (0.901, 0.771, 0.811)
O (0.140, 0.921, 0.281)
O (0.508, 0.863, 0.593)
O (0.492, 0.137, 0.407)
O (0.086, 0.685, 0.124)
O (0.492, 0.363, 0.907)
O (0.273, 0.822, 0.909)
O (0.649, 0.821, 0.963)
O (0.727, 0.322, 0.591)
O (0.140, 0.579, 0.781)
O (0.502, 0.098, 0.831)
P (0.514, 0.206, 0.960)
P (0.096, 0.759, 0.273)
P (0.904, 0.259, 0.227)
P (0.486, 0.706, 0.540)
P (0.904, 0.241, 0.727)
P (0.096, 0.741, 0.773)
P (0.514, 0.294, 0.460)
P (0.486, 0.794, 0.040)
Sn (0.793, 0.604, 0.941)
Sn (0.793, 0.896, 0.441)
Sn (0.207, 0.396, 0.059)
Sn (0.207, 0.104, 0.559)
Zn (0.688, 0.552, 0.293)
Zn (0.312, 0.052, 0.207)
Zn (0.688, 0.948, 0.793)
Zn (0.312, 0.448, 0.707)

DOS at the Fermi energy ... 0.00 states/eV per cell
Energy above the lowest structure with this stoichiometry ... 0.000 eV/atom
V ... 12.782 A^3/atom
Total DFT energy (no corrections) ... -301.92 eV/cell

Entry 2:
The following is a PBEsol calculation of a relaxed CaZr2Pt2 crystal, from Alexandria via LeMat-Bulk.

Cell: 4.608 4.608 6.208 Å, 111.78 111.78 90.00°
Fractional coordinates of all 5 atoms:
Zr (0.250, 0.750, 0.500)
Zr (0.750, 0.250, 0.500)
Ca (0.000, 0.000, 0.000)
Pt (0.623, 0.623, 0.245)
Pt (0.377, 0.377, 0.755)

DOS at the Fermi energy ... 2.05 states/eV per cell
Energy above the lowest structure with this stoichiometry ... 0.000 eV/atom
V ... 22.440 A^3/atom
Energy relative to the elements ... -0.8074 eV per atom
Total DFT energy (no corrections) ... -38.28 eV/cell

Entry 3:
The following is a PBEsol calculation of a relaxed KNb3Cd crystal, from Alexandria via LeMat-Bulk.

Cell: 4.587 4.587 4.587 Å, 90.00 90.00 90.00°
Fractional coordinates of all 5 atoms:
Nb (0.500, 0.000, 0.000)
Nb (0.000, 0.500, 0.000)
Nb (0.000, 0.000, 0.500)
K (0.000, 0.000, 0.000)
Cd (0.500, 0.500, 0.500)

DOS at the Fermi energy ... 3.76 states/eV per cell
Energy above the lowest structure with this stoichiometry ... 0.205 eV/atom
V ... 19.306 A^3/atom
Energy relative to the elements ... 2.3745 eV per atom
Total DFT energy (no corrections) ... -22.92 eV/cell

Entry 4:
The following is a PBEsol calculation of a relaxed CrAuSN2 crystal, from Alexandria via LeMat-Bulk.

Cell: 3.914 3.914 5.075 Å, 90.00 90.00 90.00°
Site moments in Bohr magnetons follow the coordinates.
Fractional coordinates of all 5 atoms:
Au (0.000, 0.000, 0.000)  -0.24
S (0.000, 0.000, 0.500)  -0.18
Cr (0.500, 0.500, 0.500)  3.86
N (0.500, 0.000, 0.000)  -0.85
N (0.000, 0.500, 0.000)  -0.85

DOS at the Fermi energy ... 2.58 states/eV per cell
V ... 15.554 A^3/atom
Total DFT energy (no corrections) ... -27.43 eV/cell

Entry 5:
The following is a PBEsol calculation of a relaxed ZrFe4Au crystal, from Alexandria via LeMat-Bulk.

Cell: 4.811 4.811 4.811 Å, 60.00 60.00 60.00°
Site moments in Bohr magnetons follow the coordinates.
Fractional coordinates of all 6 atoms:
Zr (0.750, 0.750, 0.750)  -0.32
Fe (0.375, 0.375, 0.375)  1.91
Fe (0.375, 0.876, 0.375)  1.91
Fe (0.876, 0.375, 0.375)  1.91
Fe (0.375, 0.375, 0.876)  1.91
Au (0.000, 0.000, 0.000)  0.07

DOS at the Fermi energy ... 6.98 states/eV per cell
V ... 13.121 A^3/atom
Energy relative to the elements ... -0.1883 eV per atom
Total DFT energy (no corrections) ... -50.00 eV/cell

Entry 6:
The following is a PBEsol calculation of a relaxed La2AlZn2 crystal, from Alexandria via LeMat-Bulk.

Cell: 4.738 7.004 7.004 Å, 90.00 90.00 90.00°
Fractional coordinates of all 10 atoms:
La (0.500, 0.325, 0.175)
La (0.500, 0.825, 0.325)
La (0.500, 0.675, 0.825)
La (0.500, 0.175, 0.675)
Zn (0.000, 0.870, 0.630)
Zn (0.000, 0.370, 0.870)
Zn (0.000, 0.630, 0.130)
Zn (0.000, 0.130, 0.370)
Al (0.000, 0.500, 0.500)
Al (0.000, 0.000, 0.000)

DOS at the Fermi energy ... 8.18 states/eV per cell
Energy above the lowest structure with this stoichiometry ... 0.000 eV/atom
V ... 23.242 A^3/atom
Energy relative to the elements ... -0.3239 eV per atom
Total DFT energy (no corrections) ... -39.13 eV/cell

Entry 7:
The following is a PBEsol calculation of a relaxed YCo2Se crystal, from Alexandria via LeMat-Bulk.

Cell: 3.931 3.929 5.275 Å, 111.88 90.00 120.02°
Site moments in Bohr magnetons follow the coordinates.
Fractional coordinates of all 4 atoms:
Co (0.740, 0.479, 0.219)  0.50
Co (0.046, 0.093, 0.139)  0.47
Y (0.255, 0.511, 0.766)  -0.07
Se (0.459, 0.917, 0.376)  0.00

DOS at the Fermi energy ... 3.84 states/eV per cell
V ... 15.916 A^3/atom
Total DFT energy (no corrections) ... -27.90 eV/cell

Entry 8:
The following is a PBEsol calculation of a relaxed Ca2HfCo crystal, from Alexandria via LeMat-Bulk.

Cell: 5.054 5.054 5.054 Å, 60.00 60.00 60.00°
Site moments in Bohr magnetons follow the coordinates.
Fractional coordinates of all 4 atoms:
Co (0.000, 0.000, 0.000)  1.10
Ca (0.750, 0.750, 0.750)  -0.02
Ca (0.250, 0.250, 0.250)  -0.02
Hf (0.500, 0.500, 0.500)  -0.06

DOS at the Fermi energy ... 5.32 states/eV per cell
V ... 22.828 A^3/atom
Energy relative to the elements ... 0.8999 eV per atom
Total DFT energy (no corrections) ... -18.91 eV/cell